No. 1
A plane-wave DFT calculation with SCAN was carried out for a crystal of SrLi4Zn relaxed with PBEsol.

abc: 8.0196 8.0196 8.0196
angles: 90.00 90.00 90.00
Closest atoms and distances in Å follow each position.
Space group F-43m (No. 216)
Inequivalent atoms, fractional coordinates:
Sr (0.0000, 0.0000, 0.0000)  12 Li 3.33, 4 Zn 3.47
Li (0.1220, 0.1220, 0.6220)  6 Li 2.77-2.90
Zn (0.2500, 0.2500, 0.2500)  12 Li 3.32, 4 Sr 3.47

Calculated values
Density of states at the Fermi level ... 2.81 states/eV/f.u.
Calculated total energy ... -180.98 eV per cell

---

No. 2
A plane-wave DFT calculation with SCAN was carried out for a crystal of SrLiZn2 relaxed with PBEsol.

abc: 7.6472 4.4090 5.9583
angles: 90.00 115.05 90.00
Closest atoms and distances in Å follow each position.
Space group Cm (No. 8)
Inequivalent atoms, fractional coordinates:
Sr (0.0000, 0.0000, 0.0000)  4 Li 3.09-3.44, 4 Zn 3.22-3.35
Li (0.3099, 0.5000, 0.4272)  6 Zn 2.64-2.71
Zn (0.0201, 0.5000, 0.5582)  3 Zn 2.56, 3 Li 2.64
Zn (0.1998, 0.0000, 0.5974)  3 Zn 2.56, 3 Li 2.71

Calculated values
Density of states at the Fermi level ... 2.16 states/eV/f.u.
Calculated total energy ... -105.33 eV per cell

---

No. 3
A plane-wave DFT calculation with SCAN was carried out for a crystal of SrLiZn2 relaxed with PBEsol.

abc: 7.7148 4.4425 5.9753
angles: 90.00 115.33 90.00
Closest atoms and distances in Å follow each position.
Space group C2/m (No. 12)
Inequivalent atoms, fractional coordinates:
Sr (0.0000, 0.0000, 0.0000)  8 Zn 3.09-3.46
Li (0.0000, 0.5000, 0.5000)  6 Zn 2.60
Zn (0.1906, 0.0000, 0.5722)  3 Li 2.60, 3 Zn 2.68-2.69

Calculated values
Density of states at the Fermi level ... 1.82 states/eV/f.u.
Calculated total energy ... -105.23 eV per cell

---

No. 4
A plane-wave DFT calculation with SCAN was carried out for a crystal of SrLiZn2 relaxed with PBEsol.

abc: 7.1290 7.1290 7.1290
angles: 90.00 90.00 90.00
Closest atoms and distances in Å follow each position.
Space group Fm-3m (No. 225)
Inequivalent atoms, fractional coordinates:
Sr (0.0000, 0.0000, 0.0000)  8 Zn 3.09
Li (0.0000, 0.0000, 0.5000)  8 Zn 3.09
Zn (0.2500, 0.2500, 0.2500)  4 Li 3.09, 4 Sr 3.09

Calculated values
Density of states at the Fermi level ... 3.54 states/eV/f.u.
Calculated total energy ... -207.72 eV per cell

---

No. 5
A plane-wave DFT calculation with SCAN was carried out for a crystal of SrLi2Zn relaxed with PBEsol.

abc: 4.6235 4.6235 16.4431
angles: 90.00 90.00 120.00
Closest atoms and distances in Å follow each position.
Space group R3m (No. 160, hexagonal axes)
Inequivalent atoms, fractional coordinates:
Sr (0.0000, 0.0000, 0.0000)  4 Li 3.22-3.50, 4 Zn 3.29-3.45
Li (0.0000, 0.0000, 0.5134)  3 Zn 2.69, 3 Li 2.76
Li (0.0000, 0.0000, 0.8044)  3 Li 2.76, 3 Zn 2.86
Zn (0.0000, 0.0000, 0.2002)  6 Li 2.69-2.86

Calculated values
Density of states at the Fermi level ... 2.38 states/eV/f.u.
Calculated total energy ... -122.81 eV per cell

---

No. 6
A plane-wave DFT calculation with SCAN was carried out for a crystal of SrLi2Zn relaxed with PBEsol.

abc: 3.6816 3.6816 7.2372
angles: 90.00 90.00 90.00
Closest atoms and distances in Å follow each position.
Space group P4mm (No. 99)
Inequivalent atoms, fractional coordinates:
Sr (0.0000, 0.0000, 0.0000)  1 Li 3.22, 4 Zn 3.26
Li (0.0000, 0.0000, 0.4452)  4 Zn 2.89, 4 Li 2.97, 1 Sr 3.22
Li (0.5000, 0.5000, 0.6430)  1 Zn 2.70, 4 Li 2.97
Zn (0.5000, 0.5000, 0.2703)  5 Li 2.70-2.89

Calculated values
Density of states at the Fermi level ... 1.69 states/eV/f.u.
Calculated total energy ... -40.82 eV per cell